Computed, not measured: a relaxed structure of Tb4Nd3DyS8 at the PBE-GGA level of DFT.

Calculated values
* crystal system: trigonal
* total magnetic moment: 0.000 μB per cell
* ΔE_f (raw): -32.125 eV/f.u.
* Fermi-level density of states: 0.52 states/eV per atom

Cell: 7.9771 7.9771 7.9771 Å, 59.72 59.72 59.72°
With the nearest neighbours (Å) after each atom.
Atoms (fractional coordinates):
Tb  0.0000  0.0000  0.0000  6 S 2.82
Tb  0.0000  0.5000  0.5000  6 S 2.76
Tb  0.5000  0.0000  0.5000  6 S 2.76
Tb  0.5000  0.5000  0.0000  6 S 2.76
Nd  0.0000  0.0000  0.5000  6 S 2.87
Nd  0.0000  0.5000  0.0000  6 S 2.87
Nd  0.5000  0.0000  0.0000  6 S 2.87
Dy  0.5000  0.5000  0.5000  6 S 2.81
S  0.2507  0.2507  0.7401  3 Tb 2.76-2.82, 1 Dy 2.81, 2 Nd 2.87
S  0.2507  0.7401  0.2507  3 Tb 2.76-2.82, 1 Dy 2.81, 2 Nd 2.87
S  0.2547  0.2547  0.2547  3 Tb 2.76, 3 Nd 2.87
S  0.2599  0.7493  0.7493  3 Tb 2.76-2.82, 1 Dy 2.81, 2 Nd 2.87
S  0.7401  0.2507  0.2507  3 Tb 2.76-2.82, 1 Dy 2.81, 2 Nd 2.87
S  0.7453  0.7453  0.7453  3 Tb 2.76, 3 Nd 2.87
S  0.7493  0.2599  0.7493  3 Tb 2.76-2.82, 1 Dy 2.81, 2 Nd 2.87
S  0.7493  0.7493  0.2599  3 Tb 2.76-2.82, 1 Dy 2.81, 2 Nd 2.87

Computed, not measured: a relaxed structure of SmSc2Pd3 at the PBE-GGA level of DFT.

Calculated values
* crystal system: tetragonal
* formation energy from the elements: -0.85 eV/atom
* total magnetic moment: 0.000 μB per cell
* Fermi-level density of states: 0.66 states/eV per atom

Cell: 3.3342 3.3342 10.5675 Å, 90.00 90.00 90.00°
With the nearest neighbours (Å) after each atom.
Atoms (fractional coordinates):
Sm  0.0000  0.0000  0.0000  8 Pd 3.15, 4 Sm 3.33
Sc  0.0000  0.0000  0.3417  8 Pd 2.80-2.89
Sc  0.0000  0.0000  0.6583  8 Pd 2.80-2.89
Pd  0.5000  0.5000  0.1979  4 Sc 2.80
Pd  0.5000  0.5000  0.5000  8 Sc 2.89, 2 Pd 3.19
Pd  0.5000  0.5000  0.8021  4 Sc 2.80

Computed, not measured: a relaxed structure of AlAsP4 at the PBE-GGA level of DFT.

Calculated values
* crystal system: cubic
* formation energy from the elements: 0.64 eV/atom
* total magnetic moment: 0.000 μB per cell
* Fermi-level density of states: 0.43 states/eV per atom

Cell: 5.3617 5.3617 5.3617 Å, 60.00 60.00 60.00°
With the nearest neighbours (Å) after each atom.
Atoms (fractional coordinates):
Al  0.0000  0.0000  0.0000  12 P 3.11, 4 As 3.28
As  0.2500  0.2500  0.2500  12 P 3.19, 4 Al 3.28
P  0.0744  0.6419  0.6419  3 P 2.32
P  0.6419  0.0744  0.6419  3 P 2.32
P  0.6419  0.6419  0.0744  3 P 2.32
P  0.6419  0.6419  0.6419  3 P 2.32

Computed, not measured: a relaxed structure of BaOsSCl2 at the PBE-GGA level of DFT.

Calculated values
* crystal system: tetragonal
* total magnetic moment: 4.678 μB per cell
* ΔE_f (raw): 3.298 eV/f.u.
* Fermi-level density of states: 2.34 states/eV per atom

Cell: 5.8286 5.8286 6.0932 Å, 90.00 90.00 90.00°
With the nearest neighbours (Å) after each atom.
Atoms (fractional coordinates):
Ba  0.0000  0.0000  0.0000  4 Cl 2.91, 2 S 3.05
Os  0.5000  0.5000  0.5000  4 S 4.12, 8 Cl 4.22
S  0.0000  0.0000  0.5000  2 Ba 3.05
Cl  0.0000  0.5000  0.0000  2 Ba 2.91
Cl  0.5000  0.0000  0.0000  2 Ba 2.91

Computed, not measured: a relaxed structure of YPt3 at the PBE-GGA level of DFT.

Calculated values
* crystal system: cubic
* formation energy from the elements: -0.68 eV/atom
* total magnetic moment: 0.000 μB per cell
* Fermi-level density of states: 1.07 states/eV per atom

Cell: 4.6975 4.6975 4.6975 Å, 60.00 60.00 60.00°
With the nearest neighbours (Å) after each atom.
Atoms (fractional coordinates):
Y  0.0000  0.0000  0.0000  8 Pt 2.88
Pt  0.2500  0.2500  0.2500  4 Pt 2.88, 4 Y 2.88
Pt  0.5000  0.5000  0.5000  8 Pt 2.88
Pt  0.7500  0.7500  0.7500  4 Pt 2.88, 4 Y 2.88

Computed, not measured: a relaxed structure of YBeAlPt3 at the PBE-GGA level of DFT.

Calculated values
* crystal system: orthorhombic
* formation energy from the elements: -0.76 eV/atom
* total magnetic moment: 0.000 μB per cell
* Fermi-level density of states: 0.53 states/eV per atom

Cell: 6.7539 6.7539 5.4880 Å, 90.00 90.00 119.31°
With the nearest neighbours (Å) after each atom.
Atoms (fractional coordinates):
Y  0.2022  0.7978  0.7500  2 Be 2.92, 6 Pt 3.01-3.06, 1 Al 3.16
Y  0.7978  0.2022  0.2500  2 Be 2.92, 6 Pt 3.01-3.06, 1 Al 3.16
Be  0.1154  0.8846  0.2500  5 Pt 2.24-2.36
Be  0.8846  0.1154  0.7500  5 Pt 2.24-2.36
Al  0.4730  0.5270  0.7500  5 Pt 2.48-2.56
Al  0.5270  0.4730  0.2500  5 Pt 2.48-2.56
Pt  0.2016  0.2016  0.0000  2 Be 2.36, 2 Al 2.48
Pt  0.2016  0.2016  0.5000  2 Be 2.36, 2 Al 2.48
Pt  0.3074  0.6926  0.2500  1 Be 2.24
Pt  0.6926  0.3074  0.7500  1 Be 2.24
Pt  0.7984  0.7984  0.0000  2 Be 2.36, 2 Al 2.48
Pt  0.7984  0.7984  0.5000  2 Be 2.36, 2 Al 2.48

Computed, not measured: a relaxed structure of LaNdGe3 at the PBE-GGA level of DFT.

Calculated values
* crystal system: orthorhombic
* formation energy from the elements: -0.74 eV/atom
* total magnetic moment: 0.000 μB per cell
* Fermi-level density of states: 0.62 states/eV per atom

Cell: 13.6899 13.6899 4.1432 Å, 90.00 90.00 161.42°
With the nearest neighbours (Å) after each atom.
Atoms (fractional coordinates):
La  0.0715  0.9285  0.7500  10 Ge 3.26-3.46
La  0.9285  0.0715  0.2500  10 Ge 3.26-3.46
Nd  0.2027  0.7973  0.2500  7 Ge 3.07-3.10
Nd  0.7973  0.2027  0.7500  7 Ge 3.07-3.10
Ge  0.3165  0.6835  0.2500  2 Ge 2.65
Ge  0.3778  0.6222  0.7500  3 Ge 2.57-2.65
Ge  0.4729  0.5271  0.7500  3 Ge 2.54-2.57
Ge  0.5271  0.4729  0.2500  3 Ge 2.54-2.57
Ge  0.6222  0.3778  0.2500  3 Ge 2.57-2.65
Ge  0.6835  0.3165  0.7500  2 Ge 2.65

Computed, not measured: a relaxed structure of MgBePb2O6 at the PBE-GGA level of DFT.

Calculated values
* crystal system: trigonal
* total magnetic moment: 0.000 μB per cell
* ΔE_f (raw): -14.783 eV/f.u.

Cell: 5.9197 5.9197 5.9197 Å, 53.01 53.01 53.01°
With the nearest neighbours (Å) after each atom.
Atoms (fractional coordinates):
Mg  0.0000  0.0000  0.0000  3 O 1.98
Be  0.5602  0.5602  0.5602  3 O 1.62
Pb  0.3066  0.3066  0.3066  6 O 2.18-2.27
Pb  0.7963  0.7963  0.7963  6 O 2.13-2.35
O  0.0907  0.7256  0.3768  1 Mg 1.98, 2 Pb 2.13-2.18
O  0.2465  0.6139  0.8516  1 Be 1.62
O  0.3768  0.0907  0.7256  1 Mg 1.98, 2 Pb 2.13-2.18
O  0.6139  0.8515  0.2465  1 Be 1.62
O  0.7256  0.3768  0.0907  1 Mg 1.98, 2 Pb 2.13-2.18
O  0.8515  0.2465  0.6139  1 Be 1.62

Computed, not measured: a relaxed structure of HoZn4Mo at the PBE-GGA level of DFT.

Calculated values
* crystal system: cubic
* formation energy from the elements: -0.08 eV/atom
* total magnetic moment: 2.114 μB per cell
* Fermi-level density of states: 0.70 states/eV per atom

Cell: 5.1935 5.1935 5.1935 Å, 60.00 60.00 60.00°
With the nearest neighbours (Å) after each atom.
Atoms (fractional coordinates):
Ho  0.0000  0.0000  0.0000  12 Zn 3.05, 4 Mo 3.18
Zn  0.3763  0.3763  0.3763  6 Zn 2.57-2.62
Zn  0.3763  0.3763  0.8710  6 Zn 2.57-2.62
Zn  0.3763  0.8710  0.3763  6 Zn 2.57-2.62
Zn  0.8710  0.3763  0.3763  6 Zn 2.57-2.62
Mo  0.7500  0.7500  0.7500  12 Zn 3.04, 4 Ho 3.18

Computed, not measured: a relaxed structure of Y3Ho6Th at the PBE-GGA level of DFT.

Calculated values
* crystal system: trigonal
* formation energy from the elements: 0.31 eV/atom
* total magnetic moment: 0.000 μB per cell
* Fermi-level density of states: 1.88 states/eV per atom

Cell: 6.8837 6.8837 6.8837 Å, 90.82 90.82 90.82°
With the nearest neighbours (Å) after each atom.
Atoms (fractional coordinates):
Y  0.0000  0.0000  0.0000  2 Y 2.85
Y  0.2421  0.2421  0.2421  1 Y 2.85, 1 Th 3.03
Y  0.7579  0.7579  0.7579  1 Y 2.85, 1 Th 3.03
Ho  0.0000  0.6646  0.3354  3 Y 3.29-3.43
Ho  0.1701  0.5000  0.8299  1 Th 3.23, 2 Y 3.40
Ho  0.3354  0.0000  0.6646  3 Y 3.29-3.43
Ho  0.5000  0.8299  0.1701  1 Th 3.23, 2 Y 3.40
Ho  0.6646  0.3354  0.0000  3 Y 3.29-3.43
Ho  0.8299  0.1701  0.5000  1 Th 3.23, 2 Y 3.40
Th  0.5000  0.5000  0.5000  2 Y 3.03, 3 Ho 3.23

Computed, not measured: a relaxed structure of BeRhBr at the PBE-GGA level of DFT.

Calculated values
* crystal system: hexagonal
* total magnetic moment: 0.000 μB per cell
* ΔE_f (raw): 2.052 eV/f.u.
* Fermi-level density of states: 0.52 states/eV per atom

Cell: 4.5169 4.5169 5.2315 Å, 90.00 90.00 120.00°
With the nearest neighbours (Å) after each atom.
Atoms (fractional coordinates):
Be  0.0000  0.0000  0.0000  2 Be 2.62, 6 Br 2.92, 6 Rh 2.92
Be  0.0000  0.0000  0.5000  2 Be 2.62, 6 Br 2.92, 6 Rh 2.92
Rh  0.3333  0.6667  0.2500  5 Br 2.61-2.62, 6 Be 2.92
Rh  0.6667  0.3333  0.7500  5 Br 2.61-2.62, 6 Be 2.92
Br  0.3333  0.6667  0.7500  5 Rh 2.61-2.62, 6 Be 2.92
Br  0.6667  0.3333  0.2500  5 Rh 2.61-2.62, 6 Be 2.92

Computed, not measured: a relaxed structure of SrYRe4 at the PBE-GGA level of DFT.

Calculated values
* crystal system: cubic
* formation energy from the elements: 0.20 eV/atom
* total magnetic moment: 0.000 μB per cell
* Fermi-level density of states: 0.55 states/eV per atom

Cell: 5.4769 5.4769 5.4769 Å, 60.00 60.00 60.00°
With the nearest neighbours (Å) after each atom.
Atoms (fractional coordinates):
Sr  0.0000  0.0000  0.0000  12 Re 3.21, 4 Y 3.35
Y  0.7500  0.7500  0.7500  12 Re 3.21, 4 Sr 3.35
Re  0.3752  0.3752  0.3752  6 Re 2.73-2.74
Re  0.3752  0.3752  0.8744  6 Re 2.73-2.74
Re  0.3752  0.8744  0.3752  6 Re 2.73-2.74
Re  0.8744  0.3752  0.3752  6 Re 2.73-2.74